--- one ---
Be2SbS2: optimized geometry, PBE.

Lattice parameters (Å, degrees): 3.331 3.331 12.056 82.06 82.06 90.00
Element x y z (fractional)
Be 0.750 0.250 0.500
S 0.696 0.696 0.607
Sb 0.000 0.000 0.000
S 0.304 0.304 0.393
Be 0.250 0.750 0.500

Total moment, Bohr magnetons per cell: 0.00
Space-group type: I4/mmm

--- two ---
Be2SbS2: optimized geometry, PBE.

Lattice parameters (Å, degrees): 8.037 8.037 3.418 90.00 90.00 90.00
Element x y z (fractional)
Sb 0.500 0.500 0.000
S 0.346 0.846 0.000
S 0.654 0.154 0.000
Be 0.764 0.736 0.500
S 0.846 0.654 0.000
Be 0.264 0.764 0.500
Be 0.736 0.236 0.500
Sb 0.000 0.000 0.000
S 0.154 0.346 0.000
Be 0.236 0.264 0.500

Total moment, Bohr magnetons per cell: 0.00
Space-group type: P4/mbm

Which of them is the most stable, and which is the least stable? one and two, in that order.

--- one ---
BeSb2S: optimized geometry, PBE.

Lattice parameters (Å, degrees): 5.918 5.918 7.286 66.04 66.04 90.00
Element x y z (fractional)
Be 0.500 0.500 0.000
S 0.000 0.000 0.000
Sb 0.175 0.625 0.250
Sb 0.875 0.825 0.750
Sb 0.375 0.425 0.750
Sb 0.575 0.125 0.250
Be 0.250 0.750 0.500
S 0.750 0.250 0.500

Total moment, Bohr magnetons per cell: 0.00
Space-group type: I-42d

--- two ---
BeSb2S: optimized geometry, PBE.

Lattice parameters (Å, degrees): 4.832 4.832 4.832 60.00 60.00 60.00
Element x y z (fractional)
Sb 0.250 0.250 0.250
Sb 0.750 0.750 0.750
Be 0.000 0.000 0.000
S 0.500 0.500 0.500

Total moment, Bohr magnetons per cell: 0.00
Space-group type: Fm-3m

Which of them is the most stable, and which is the least stable? one and two, in that order.

--- one ---
Be2SeS: optimized geometry, PBE.

Lattice parameters (Å, degrees): 5.028 5.028 6.155 65.90 65.90 90.00
Element x y z (fractional)
Be 0.144 0.625 0.250
S 0.250 0.750 0.500
S 0.500 0.500 0.000
Se 0.750 0.250 0.500
Be 0.375 0.394 0.750
Be 0.875 0.856 0.750
Be 0.606 0.125 0.250
Se 0.000 0.000 0.000

Total moment, Bohr magnetons per cell: 0.00
Space-group type: I-42d

--- two ---
Be2SeS: optimized geometry, PBE.

Lattice parameters (Å, degrees): 4.280 4.280 4.280 60.00 60.00 60.00
Element x y z (fractional)
S 0.000 0.000 0.000
Se 0.500 0.500 0.500
Be 0.750 0.750 0.750
Be 0.250 0.250 0.250

Total moment, Bohr magnetons per cell: 0.00
Space-group type: Fm-3m

Which of them is the most stable, and which is the least stable? one and two, in that order.

--- one ---
BeSeS2: optimized geometry, PBE.

Lattice parameters (Å, degrees): 7.391 7.391 7.391 26.20 26.20 26.20
Element x y z (fractional)
S 0.889 0.889 0.889
Be 0.500 0.500 0.500
Se 0.000 0.000 0.000
S 0.111 0.111 0.111

Total moment, Bohr magnetons per cell: 0.00
Space-group type: R-3m

--- two ---
BeSeS2: optimized geometry, PBE.

Lattice parameters (Å, degrees): 4.433 4.433 4.433 60.00 60.00 60.00
Element x y z (fractional)
S 0.750 0.750 0.750
Be 0.000 0.000 0.000
Se 0.500 0.500 0.500
S 0.250 0.250 0.250

Total moment, Bohr magnetons per cell: 0.00
Space-group type: Fm-3m

--- three ---
BeSeS2: optimized geometry, PBE.

Lattice parameters (Å, degrees): 5.946 5.946 5.894 59.71 59.71 90.00
Element x y z (fractional)
S 0.875 0.803 0.750
S 0.553 0.125 0.250
Se 0.750 0.250 0.500
S 0.197 0.625 0.250
Se 0.000 0.000 0.000
Be 0.500 0.500 0.000
Be 0.250 0.750 0.500
S 0.375 0.447 0.750

Total moment, Bohr magnetons per cell: 0.00
Space-group type: I-42d

Which of them is the most stable, and which is the least stable? one and two, in that order.

--- one ---
BeSi3S: optimized geometry, PBE.

Lattice parameters (Å, degrees): 4.499 4.499 4.499 90.00 90.00 90.00
Element x y z (fractional)
Si 0.000 0.500 0.000
Be 0.500 0.500 0.500
Si 0.500 0.000 0.000
Si 0.000 0.000 0.500
S 0.000 0.000 0.000

Total moment, Bohr magnetons per cell: 0.00
Space-group type: Pm-3m

--- two ---
BeSi3S: optimized geometry, PBE.

Lattice parameters (Å, degrees): 4.328 4.328 4.328 90.00 90.00 90.00
Element x y z (fractional)
Be 0.000 0.000 0.000
Si 0.500 0.000 0.000
Si 0.000 0.000 0.500
S 0.500 0.500 0.500
Si 0.000 0.500 0.000

Total moment, Bohr magnetons per cell: 0.00
Space-group type: Pm-3m

Which of them is the most stable, and which is the least stable? two and one, in that order.

--- one ---
Be2SiS: optimized geometry, PBE.

Lattice parameters (Å, degrees): 5.259 5.259 5.855 63.32 63.32 90.00
Element x y z (fractional)
S 0.750 0.250 0.500
Be 0.375 0.340 0.750
Be 0.875 0.910 0.750
Si 0.500 0.500 0.000
S 0.000 0.000 0.000
Be 0.660 0.125 0.250
Si 0.250 0.750 0.500
Be 0.090 0.625 0.250

Total moment, Bohr magnetons per cell: 0.00
Space-group type: I-42d

--- two ---
Be2SiS: optimized geometry, PBE.

Lattice parameters (Å, degrees): 4.115 4.115 4.115 60.00 60.00 60.00
Element x y z (fractional)
Si 0.000 0.000 0.000
Be 0.750 0.750 0.750
S 0.500 0.500 0.500
Be 0.250 0.250 0.250

Total moment, Bohr magnetons per cell: 0.00
Space-group type: Fm-3m

Which of them is the most stable, and which is the least stable? one and two, in that order.

--- one ---
BeSiS2: optimized geometry, PBE.

Lattice parameters (Å, degrees): 5.790 5.790 6.031 61.32 61.32 90.00
Element x y z (fractional)
S 0.375 0.439 0.750
S 0.561 0.125 0.250
Si 0.000 0.000 0.000
Si 0.750 0.250 0.500
Be 0.250 0.750 0.500
Be 0.500 0.500 0.000
S 0.189 0.625 0.250
S 0.875 0.811 0.750

Total moment, Bohr magnetons per cell: 0.00
Space-group type: I-42d

--- two ---
BeSiS2: optimized geometry, PBE.

Lattice parameters (Å, degrees): 6.801 6.801 6.801 32.95 32.95 32.95
Element x y z (fractional)
Be 0.000 0.000 0.000
S 0.902 0.902 0.902
Si 0.500 0.500 0.500
S 0.098 0.098 0.098

Total moment, Bohr magnetons per cell: 0.00
Space-group type: R-3m

Which of them is the most stable, and which is the least stable? one and two, in that order.

--- one ---
BeSi2S: optimized geometry, PBE.

Lattice parameters (Å, degrees): 4.264 4.264 4.264 60.00 60.00 60.00
Element x y z (fractional)
Si 0.250 0.250 0.250
Be 0.000 0.000 0.000
Si 0.750 0.750 0.750
S 0.500 0.500 0.500

Total moment, Bohr magnetons per cell: 0.00
Space-group type: Fm-3m

--- two ---
BeSi2S: optimized geometry, PBE.

Lattice parameters (Å, degrees): 5.208 5.208 6.394 65.97 65.97 90.00
Element x y z (fractional)
Si 0.589 0.125 0.250
S 0.750 0.250 0.500
Si 0.161 0.625 0.250
S 0.000 0.000 0.000
Si 0.375 0.411 0.750
Si 0.875 0.839 0.750
Be 0.250 0.750 0.500
Be 0.500 0.500 0.000

Total moment, Bohr magnetons per cell: 0.00
Space-group type: I-42d

Which of them is the most stable, and which is the least stable? two and one, in that order.

--- one ---
BeSn2S2: optimized geometry, PBE.

Lattice parameters (Å, degrees): 4.858 4.858 6.996 69.68 69.68 90.00
Element x y z (fractional)
S 0.750 0.250 0.500
S 0.250 0.750 0.500
Sn 0.649 0.649 0.702
Sn 0.351 0.351 0.298
Be 0.000 0.000 0.000

Total moment, Bohr magnetons per cell: 0.00
Space-group type: I4/mmm

--- two ---
BeSn2S2: optimized geometry, PBE.

Lattice parameters (Å, degrees): 7.439 7.439 4.000 90.00 90.00 90.00
Element x y z (fractional)
Sn 0.320 0.820 0.000
S 0.347 0.153 0.500
Be 0.500 0.500 0.000
S 0.847 0.347 0.500
S 0.153 0.653 0.500
Be 0.000 0.000 0.000
Sn 0.820 0.680 0.000
Sn 0.180 0.320 0.000
S 0.653 0.847 0.500
Sn 0.680 0.180 0.000

Total moment, Bohr magnetons per cell: 0.00
Space-group type: P4/mbm

Which of them is the most stable, and which is the least stable? two and one, in that order.

--- one ---
Be2SnS: optimized geometry, PBE.

Lattice parameters (Å, degrees): 4.441 4.441 4.441 60.00 60.00 60.00
Element x y z (fractional)
S 0.000 0.000 0.000
Sn 0.500 0.500 0.500
Be 0.750 0.750 0.750
Be 0.250 0.250 0.250

Total moment, Bohr magnetons per cell: 0.00
Space-group type: Fm-3m

--- two ---
Be2SnS: optimized geometry, PBE.

Lattice parameters (Å, degrees): 5.545 5.545 6.135 63.13 63.13 90.00
Element x y z (fractional)
Be 0.560 0.125 0.250
Sn 0.000 0.000 0.000
Be 0.375 0.440 0.750
S 0.250 0.750 0.500
Sn 0.750 0.250 0.500
Be 0.875 0.810 0.750
Be 0.190 0.625 0.250
S 0.500 0.500 0.000

Total moment, Bohr magnetons per cell: 0.00
Space-group type: I-42d

Which of them is the most stable, and which is the least stable? two and one, in that order.

--- one ---
BeSnS2: optimized geometry, PBE.

Lattice parameters (Å, degrees): 7.125 7.125 7.125 35.72 35.72 35.72
Element x y z (fractional)
S 0.906 0.906 0.906
Be 0.000 0.000 0.000
Sn 0.500 0.500 0.500
S 0.094 0.094 0.094

Total moment, Bohr magnetons per cell: 0.00
Space-group type: R-3m

--- two ---
BeSnS2: optimized geometry, PBE.

Lattice parameters (Å, degrees): 4.633 4.633 4.633 60.00 60.00 60.00
Element x y z (fractional)
S 0.750 0.750 0.750
S 0.250 0.250 0.250
Be 0.000 0.000 0.000
Sn 0.500 0.500 0.500

Total moment, Bohr magnetons per cell: 0.00
Space-group type: Fm-3m

Which of them is the most stable, and which is the least stable? one and two, in that order.

--- one ---
BeSnS2: optimized geometry, PBE.

Lattice parameters (Å, degrees): 7.681 7.681 7.681 25.58 25.58 25.58
Element x y z (fractional)
Be 0.500 0.500 0.500
Sn 0.000 0.000 0.000
S 0.115 0.115 0.115
S 0.885 0.885 0.885

Total moment, Bohr magnetons per cell: 0.00
Space-group type: R-3m

--- two ---
BeSnS2: optimized geometry, PBE.

Lattice parameters (Å, degrees): 6.383 6.383 5.976 57.72 57.72 90.00
Element x y z (fractional)
Sn 0.750 0.250 0.500
Sn 0.000 0.000 0.000
S 0.530 0.125 0.250
S 0.875 0.780 0.750
Be 0.500 0.500 0.000
Be 0.250 0.750 0.500
S 0.375 0.470 0.750
S 0.220 0.625 0.250

Total moment, Bohr magnetons per cell: 0.00
Space-group type: I-42d

Which of them is the most stable, and which is the least stable? two and one, in that order.